No. 1
Computed, not measured: a relaxed ZnCdSeO crystal at the GGA-PBE level of DFT.

Summary:
VASP energy (eV/atom): -3.5043
Crystal system: orthorhombic

Structure (CIF):
```
data_ZnCdSeO
_chemical_formula_sum 'Zn4 Cd4 Se4 O4'
_symmetry_space_group_name_H-M 'P 21 21 21'
_symmetry_Int_Tables_number 19
_cell_length_a 5.8378
_cell_length_b 7.2282
_cell_length_c 7.5824
_cell_angle_alpha 90.00
_cell_angle_beta 90.00
_cell_angle_gamma 90.00
loop_
_symmetry_equiv_pos_as_xyz
'x,y,z'
'-x+1/2,-y,z+1/2'
'x+1/2,-y+1/2,-z'
'-x,y+1/2,-z+1/2'
loop_
_atom_site_label
_atom_site_type_symbol
_atom_site_fract_x
_atom_site_fract_y
_atom_site_fract_z
_atom_site_occupancy
Zn1 Zn 0.1735 0.1838 0.0827 1
Cd1 Cd 0.1577 0.4164 0.6793 1
Se1 Se 0.0019 0.3842 0.3495 1
O1 O 0.0145 0.7417 0.6233 1
```


No. 2
Computed, not measured: a relaxed ZnCdSeO crystal at the GGA-PBE level of DFT.

Summary:
VASP energy (eV/atom): -3.4364
Crystal system: orthorhombic

Structure (CIF):
```
data_ZnCdSeO
_chemical_formula_sum 'Zn8 Cd8 Se8 O8'
_symmetry_space_group_name_H-M 'P b c a'
_symmetry_Int_Tables_number 61
_cell_length_a 6.9062
_cell_length_b 7.1135
_cell_length_c 12.6799
_cell_angle_alpha 90.00
_cell_angle_beta 90.00
_cell_angle_gamma 90.00
loop_
_symmetry_equiv_pos_as_xyz
'x,y,z'
'-x,-y,-z'
'-x+1/2,-y,z+1/2'
'x+1/2,y,-z+1/2'
'x+1/2,-y+1/2,-z'
'-x+1/2,y+1/2,z'
'-x,y+1/2,-z+1/2'
'x,-y+1/2,z+1/2'
loop_
_atom_site_label
_atom_site_type_symbol
_atom_site_fract_x
_atom_site_fract_y
_atom_site_fract_z
_atom_site_occupancy
Zn1 Zn 0.0884 0.1923 0.0618 1
Cd1 Cd 0.1448 0.5651 0.7712 1
Se1 Se 0.2436 0.5669 0.4620 1
O1 O 0.1179 0.2433 0.2134 1
```


no.,volume (Å³/f.u.)
1,79.99
2,77.87